Material: Li3LaMo
Method: DFT, PBE-GGA
State: relaxed

Cell and atoms, written as extended XYZ:
```
5
Lattice="4.633 0.000 0.000 0.000 4.633 0.000 0.000 0.000 4.633" Properties=species:S:1:pos:R:3 pbc="T T T"
Mo 2.317 2.317 2.317
Li 0.000 2.317 0.000
Li 0.000 0.000 2.317
Li 2.317 0.000 0.000
La 0.000 0.000 0.000
```

## Properties
formation energy: 1.770 eV per atom
magnetic moment: 0.0 μB/f.u.

=====

Material: LiLa2Mo
Method: DFT, PBE-GGA
State: relaxed

Cell and atoms, written as extended XYZ:
```
4
Lattice="-4.177 0.894 -2.765 -0.330 -1.774 -4.758 -3.199 -3.807 -1.080" Properties=species:S:1:pos:R:3 pbc="T T T"
La 0.000 0.000 0.000
La -1.926 -1.172 -2.151
Li -3.853 -2.343 -4.301
Mo -5.779 -3.515 -6.452
```

## Properties
formation energy: 0.544 eV per atom
magnetic moment: 1.0 μB/f.u.

=====

Material: LiLaMo
Method: DFT, PBE-GGA
State: relaxed

Cell and atoms, written as extended XYZ:
```
3
Lattice="-2.575 -4.003 -0.062 0.866 -3.436 3.177 -3.131 -0.870 3.478" Properties=species:S:1:pos:R:3 pbc="T T T"
La -3.629 -6.232 4.945
Li 0.000 0.000 0.000
Mo -2.420 -4.155 3.296
```

## Properties
formation energy: 1.268 eV per atom
magnetic moment: 2.1 μB/f.u.

=====

Material: LiLaMo2
Method: DFT, PBE-GGA
State: relaxed

Cell and atoms, written as extended XYZ:
```
4
Lattice="4.738 -0.004 -0.002 3.924 2.655 -0.002 0.168 0.051 6.286" Properties=species:S:1:pos:R:3 pbc="T T T"
La 4.437 1.358 3.168
Li 2.234 0.684 1.254
Mo 8.768 2.684 6.210
Mo 6.637 2.032 5.074
```

## Properties
formation energy: 0.530 eV per atom
magnetic moment: 0.1 μB/f.u.